No. 1
Material: PrThPd6
Method: DFT, GGA-PBE
State: relaxed

```
PrThPd6
1.0
4.2043 0.0000 0.0000
0.0000 4.2043 0.0000
0.0000 0.0000 8.4041
Pd Th Pr
6 1 1
Direct
0.5000 0.5000 0.5000 Pd
0.5000 0.5000 0.0000 Pd
0.0000 0.5000 0.7446 Pd
0.5000 0.0000 0.2554 Pd
0.0000 0.5000 0.2554 Pd
0.5000 0.0000 0.7446 Pd
0.0000 0.0000 0.5000 Th
0.0000 0.0000 0.0000 Pr
```

symmetry = P4/mmm (123)
energy relative to the elements = -0.894 eV/atom

***

No. 2
Material: PrTlPd
Method: DFT, GGA-PBE
State: relaxed

```
PrTlPd
1.0
-1.2273 -4.4422 1.5782
-2.8072 -0.4918 3.9507
-4.5912 -1.5637 -0.4537
Tl Pr Pd
1 1 1
Direct
0.7500 0.7500 0.7500 Tl
0.2500 0.2500 0.2500 Pr
0.0000 0.0000 0.0000 Pd
```

symmetry = F-43m (216)
E = -13.844 eV for the cell shown

***

No. 3
Material: PrTlPd
Method: DFT, GGA-PBE
State: relaxed

```
PrTlPd
1.0
7.8846 0.0000 0.0000
-3.9423 6.8283 0.0000
0.0000 0.0000 4.0411
Tl Pr Pd
3 3 3
Direct
0.0000 0.2585 0.0000 Tl
0.2585 0.0000 0.0000 Tl
0.7415 0.7415 0.0000 Tl
0.5917 0.0000 0.5000 Pr
0.4083 0.4083 0.5000 Pr
0.0000 0.5917 0.5000 Pr
0.3333 0.6667 0.0000 Pd
0.6667 0.3333 0.0000 Pd
0.0000 0.0000 0.5000 Pd
```

symmetry = P-62m (189)
E = -42.720 eV for the cell shown

***

No. 4
Material: PrTlPd
Method: DFT, GGA-PBE
State: relaxed

```
PrTlPd
1.0
7.2912 0.0000 0.0000
0.0000 4.7090 0.0000
0.0000 0.0000 8.5214
Pd Tl Pr
4 4 4
Direct
0.7523 0.2500 0.3924 Pd
0.2477 0.7500 0.6076 Pd
0.2523 0.2500 0.1076 Pd
0.7477 0.7500 0.8924 Pd
0.3390 0.7500 0.9315 Tl
0.1610 0.2500 0.4315 Tl
0.8390 0.7500 0.5685 Tl
0.6610 0.2500 0.0685 Tl
0.5285 0.2500 0.6912 Pr
0.0285 0.2500 0.8088 Pr
0.9715 0.7500 0.1912 Pr
0.4715 0.7500 0.3088 Pr
```

symmetry = Pnma (62)
E = -56.611 eV for the cell shown

***

No. 5
Material: PrTlPd
Method: DFT, GGA-PBE
State: relaxed

```
PrTlPd
1.0
-0.5119 6.2155 -4.1231
-4.0299 -0.6751 6.2608
3.4311 1.8823 2.4115
Pd Pr Tl
3 3 3
Direct
0.0000 0.2372 0.0000 Pd
0.2372 0.0000 0.0000 Pd
0.7628 0.7628 0.0000 Pd
0.0000 0.5704 0.5000 Pr
0.4296 0.4296 0.5000 Pr
0.5704 0.0000 0.5000 Pr
0.3333 0.6667 0.0000 Tl
0.6667 0.3333 0.0000 Tl
0.0000 0.0000 0.5000 Tl
```

symmetry = P-62m (189)
E = -41.012 eV for the cell shown

***

No. 6
Material: PrTlPd
Method: DFT, GGA-PBE
State: relaxed

```
PrTlPd
1.0
-3.7864 -2.2913 2.0567
3.4815 -2.5756 -2.2500
3.5923 -0.4671 6.0931
Pr Tl Pd
2 2 2
Direct
0.0000 0.0000 0.5000 Pr
0.0000 0.0000 0.0000 Pr
0.3333 0.6667 0.7500 Tl
0.6667 0.3333 0.2500 Tl
0.3333 0.6667 0.2500 Pd
0.6667 0.3333 0.7500 Pd
```

symmetry = P6_3/mmc (194)
E = -28.031 eV for the cell shown